# 1
Density functional theory data (PBE) for a geometry-optimized AlFeRu2 structure.

a = 4.9673 Å, b = 4.9673 Å, c = 4.9673 Å
α = 144.90°, β = 130.57°, γ = 62.06°
Site moments in Bohr magnetons follow the coordinates.
Positions (direct):
Ru 0.0051 0.0051 0.0000  -0.04
Ru 0.7449 0.2449 0.5000  0.20
Fe 0.2544 0.7544 0.5000  2.30
Al 0.4956 0.4956 0.0000  -0.01

Output
total magnetization = 2.40 μB/f.u.
SG = Imm2, No. 44
final energy = -31.62 eV for the cell shown

# 2
Density functional theory data (PBE) for a geometry-optimized Pm2HgC2 structure.

a = 4.1031 Å, b = 6.9376 Å, c = 8.3583 Å
α = 114.23°, β = 104.21°, γ = 90.00°
Positions (direct):
Pm 0.5187 0.4076 0.6948
Pm 0.1761 0.9076 0.6948
Pm 0.4813 0.5924 0.3052
Pm 0.8239 0.0924 0.3052
Hg 0.1231 0.7500 0.0000
Hg 0.8769 0.2500 0.0000
C 0.3557 0.0156 0.4500
C 0.9057 0.4844 0.5500
C 0.6443 0.9844 0.5500
C 0.0943 0.5156 0.4500

Output
total magnetization = 0.00 μB/f.u.
SG = C2/c, No. 15
final energy = -59.79 eV for the cell shown

# 3
Density functional theory data (PBE) for a geometry-optimized Tl2CuAs structure.

a = 3.2964 Å, b = 3.2964 Å, c = 8.5000 Å
α = 90.00°, β = 90.00°, γ = 100.42°
Positions (direct):
As 0.5000 0.5000 0.2500
Cu 0.5000 0.5000 0.7500
Tl 0.0000 0.0000 0.9750
Tl 0.0000 0.0000 0.5250

Output
total magnetization = 0.00 μB/f.u.
SG = Cmmm, No. 65
final energy = -12.12 eV for the cell shown

# 4
Density functional theory data (PBE) for a geometry-optimized PrFeNiP2 structure.

a = 3.8741 Å, b = 3.8741 Å, c = 5.8884 Å
α = 109.21°, β = 109.21°, γ = 90.00°
Site moments in Bohr magnetons follow the coordinates.
Positions (direct):
Pr 0.0000 0.0000 0.0000  0.03
Fe 0.7500 0.2500 0.5000  1.31
Ni 0.2500 0.7500 0.5000  0.24
P 0.6396 0.6396 0.2792  0.01
P 0.3604 0.3604 0.7208  0.01

Output
total magnetization = 1.65 μB/f.u.
SG = I-4m2, No. 119
final energy = -34.44 eV for the cell shown

Q: Which formula does entry 4 have?
A: PrFeNiP2

Q: Among the records above, which one has the lowest final energy?
A: Pm2HgC2